[1]
# ErThCd3 | Alexandria | PBE | optimized geometry
# Crystal system   orthorhombic
# DFT total energy   -3.15 eV/atom
data_ErThCd3
_chemical_formula_sum 'Er2 Th2 Cd6'
_cell_length_a 5.0172
_cell_length_b 3.4391
_cell_length_c 15.0441
_cell_angle_alpha 96.56
_cell_angle_beta 90.00
_cell_angle_gamma 90.00
_symmetry_space_group_name_H-M 'P 1'
_symmetry_Int_Tables_number 1
loop_
_symmetry_equiv_pos_as_xyz
'x,y,z'
loop_
_atom_site_label
_atom_site_type_symbol
_atom_site_fract_x
_atom_site_fract_y
_atom_site_fract_z
Cd1 Cd 0.7500 0.6240 0.2481
Cd2 Cd 0.2500 0.6780 0.3561
Cd3 Cd 0.7500 0.3220 0.6439
Cd4 Cd 0.2500 0.3760 0.7519
Cd5 Cd 0.2500 0.4755 0.9510
Cd6 Cd 0.7500 0.5245 0.0490
Er1 Er 0.2500 0.7840 0.5681
Er2 Er 0.7500 0.2160 0.4319
Th1 Th 0.2500 0.0755 0.1510
Th2 Th 0.7500 0.9245 0.8490

[2]
# Er2ThCd | Alexandria | PBE | optimized geometry
# Crystal system   tetragonal
# Excess energy over the best structure of this formula in the dataset   0.000 eV per atom
data_Er2ThCd
_chemical_formula_sum 'Er2 Th1 Cd1'
_cell_length_a 3.5935
_cell_length_b 3.5935
_cell_length_c 8.7885
_cell_angle_alpha 90.00
_cell_angle_beta 90.00
_cell_angle_gamma 90.00
_symmetry_space_group_name_H-M 'P 1'
_symmetry_Int_Tables_number 1
loop_
_symmetry_equiv_pos_as_xyz
'x,y,z'
loop_
_atom_site_label
_atom_site_type_symbol
_atom_site_fract_x
_atom_site_fract_y
_atom_site_fract_z
Er1 Er 0.0000 0.0000 0.7710
Er2 Er 0.0000 0.0000 0.2290
Cd1 Cd 0.5000 0.5000 0.0000
Th1 Th 0.5000 0.5000 0.5000

[3]
# Er3Th2Cd | Alexandria | PBE | optimized geometry
# Crystal system   tetragonal
# DFT total energy   -5.01 eV/atom
data_Er3Th2Cd
_chemical_formula_sum 'Er3 Th2 Cd1'
_cell_length_a 3.5708
_cell_length_b 3.5708
_cell_length_c 13.8767
_cell_angle_alpha 90.00
_cell_angle_beta 90.00
_cell_angle_gamma 90.00
_symmetry_space_group_name_H-M 'P 1'
_symmetry_Int_Tables_number 1
loop_
_symmetry_equiv_pos_as_xyz
'x,y,z'
loop_
_atom_site_label
_atom_site_type_symbol
_atom_site_fract_x
_atom_site_fract_y
_atom_site_fract_z
Th1 Th 0.5000 0.5000 0.1792
Th2 Th 0.5000 0.5000 0.8208
Cd1 Cd 0.5000 0.5000 0.5000
Er1 Er 0.0000 0.0000 0.3529
Er2 Er 0.0000 0.0000 0.6471
Er3 Er 0.0000 0.0000 0.0000

[4]
# ErThCd6 | Alexandria | PBE | optimized geometry
# Crystal system   orthorhombic
# DFT total energy   -2.37 eV/atom
data_ErThCd6
_chemical_formula_sum 'Er1 Th1 Cd6'
_cell_length_a 4.9426
_cell_length_b 6.6173
_cell_length_c 6.6173
_cell_angle_alpha 114.96
_cell_angle_beta 90.00
_cell_angle_gamma 90.00
_symmetry_space_group_name_H-M 'P 1'
_symmetry_Int_Tables_number 1
loop_
_symmetry_equiv_pos_as_xyz
'x,y,z'
loop_
_atom_site_label
_atom_site_type_symbol
_atom_site_fract_x
_atom_site_fract_y
_atom_site_fract_z
Cd1 Cd 0.0000 0.0620 0.3768
Cd2 Cd 0.5000 0.8738 0.5538
Cd3 Cd 0.5000 0.9203 0.0797
Cd4 Cd 0.5000 0.4462 0.1262
Cd5 Cd 0.0000 0.6232 0.9380
Cd6 Cd 0.0000 0.5746 0.4254
Er1 Er 0.5000 0.3907 0.6093
Th1 Th 0.0000 0.1089 0.8911

[5]
# Er2ThCd | Alexandria | PBE | optimized geometry
# Crystal system   trigonal
# Excess energy over the best structure of this formula in the dataset   0.075 eV per atom
data_Er2ThCd
_chemical_formula_sum 'Er2 Th1 Cd1'
_cell_length_a 3.5622
_cell_length_b 3.5622
_cell_length_c 10.8231
_cell_angle_alpha 80.53
_cell_angle_beta 80.53
_cell_angle_gamma 60.00
_symmetry_space_group_name_H-M 'P 1'
_symmetry_Int_Tables_number 1
loop_
_symmetry_equiv_pos_as_xyz
'x,y,z'
loop_
_atom_site_label
_atom_site_type_symbol
_atom_site_fract_x
_atom_site_fract_y
_atom_site_fract_z
Er1 Er 0.2549 0.2549 0.2354
Er2 Er 0.7451 0.7451 0.7646
Cd1 Cd 0.0000 0.0000 0.0000
Th1 Th 0.5000 0.5000 0.5000

[6]
# ErThCd17 | Alexandria | PBE | optimized geometry
# Crystal system   trigonal
# DFT total energy   -1.52 eV/atom
data_ErThCd17
_chemical_formula_sum 'Er1 Th1 Cd17'
_cell_length_a 7.6646
_cell_length_b 7.6646
_cell_length_c 7.6646
_cell_angle_alpha 82.28
_cell_angle_beta 82.28
_cell_angle_gamma 82.28
_symmetry_space_group_name_H-M 'P 1'
_symmetry_Int_Tables_number 1
loop_
_symmetry_equiv_pos_as_xyz
'x,y,z'
loop_
_atom_site_label
_atom_site_type_symbol
_atom_site_fract_x
_atom_site_fract_y
_atom_site_fract_z
Th1 Th 0.6718 0.6718 0.6718
Cd1 Cd 0.7861 0.3741 0.3741
Cd2 Cd 0.3073 0.6941 0.0007
Cd3 Cd 0.0227 0.0227 0.4737
Cd4 Cd 0.3741 0.3741 0.7861
Cd5 Cd 0.1258 0.6600 0.6600
Cd6 Cd 0.6941 0.0007 0.3073
Cd7 Cd 0.6941 0.3073 0.0007
Cd8 Cd 0.6600 0.1258 0.6600
Cd9 Cd 0.3741 0.7861 0.3741
Cd10 Cd 0.4737 0.0227 0.0227
Cd11 Cd 0.3073 0.0007 0.6941
Cd12 Cd 0.0227 0.4737 0.0227
Cd13 Cd 0.0007 0.6941 0.3073
Cd14 Cd 0.0007 0.3073 0.6941
Cd15 Cd 0.8994 0.8994 0.8994
Cd16 Cd 0.0934 0.0934 0.0934
Cd17 Cd 0.6600 0.6600 0.1258
Er1 Er 0.3320 0.3320 0.3320

[7]
# Er4ThCd3 | Alexandria | PBE | optimized geometry
# Crystal system   tetragonal
# DFT total energy   -3.79 eV/atom
data_Er4ThCd3
_chemical_formula_sum 'Er4 Th1 Cd3'
_cell_length_a 3.6525
_cell_length_b 3.6525
_cell_length_c 16.1795
_cell_angle_alpha 90.00
_cell_angle_beta 90.00
_cell_angle_gamma 90.00
_symmetry_space_group_name_H-M 'P 1'
_symmetry_Int_Tables_number 1
loop_
_symmetry_equiv_pos_as_xyz
'x,y,z'
loop_
_atom_site_label
_atom_site_type_symbol
_atom_site_fract_x
_atom_site_fract_y
_atom_site_fract_z
Er1 Er 0.0000 0.0000 0.8551
Er2 Er 0.0000 0.0000 0.1449
Er3 Er 0.0000 0.0000 0.3845
Er4 Er 0.0000 0.0000 0.6155
Cd1 Cd 0.5000 0.5000 0.5000
Cd2 Cd 0.5000 0.5000 0.2651
Cd3 Cd 0.5000 0.5000 0.7349
Th1 Th 0.5000 0.5000 0.0000

[8]
# Er2ThCd | Alexandria | PBE | optimized geometry
# Crystal system   cubic
# Excess energy over the best structure of this formula in the dataset   0.275 eV per atom
data_Er2ThCd
_chemical_formula_sum 'Er2 Th1 Cd1'
_cell_length_a 5.4519
_cell_length_b 5.4519
_cell_length_c 5.4519
_cell_angle_alpha 60.00
_cell_angle_beta 60.00
_cell_angle_gamma 60.00
_symmetry_space_group_name_H-M 'P 1'
_symmetry_Int_Tables_number 1
loop_
_symmetry_equiv_pos_as_xyz
'x,y,z'
loop_
_atom_site_label
_atom_site_type_symbol
_atom_site_fract_x
_atom_site_fract_y
_atom_site_fract_z
Er1 Er 0.2500 0.2500 0.2500
Er2 Er 0.7500 0.7500 0.7500
Cd1 Cd 0.5000 0.5000 0.5000
Th1 Th 0.0000 0.0000 0.0000

[9]
# ErThTiCd | Alexandria | PBE | optimized geometry
# Crystal system   cubic
# DFT total energy   -5.11 eV/atom
data_ErThTiCd
_chemical_formula_sum 'Er1 Th1 Ti1 Cd1'
_cell_length_a 5.2791
_cell_length_b 5.2791
_cell_length_c 5.2791
_cell_angle_alpha 60.00
_cell_angle_beta 60.00
_cell_angle_gamma 60.00
_symmetry_space_group_name_H-M 'P 1'
_symmetry_Int_Tables_number 1
loop_
_symmetry_equiv_pos_as_xyz
'x,y,z'
loop_
_atom_site_label
_atom_site_type_symbol
_atom_site_fract_x
_atom_site_fract_y
_atom_site_fract_z
Th1 Th 0.0000 0.0000 0.0000
Ti1 Ti 0.2500 0.2500 0.2500
Cd1 Cd 0.7500 0.7500 0.7500
Er1 Er 0.5000 0.5000 0.5000

[10]
# ErThTlCd | Alexandria | PBE | optimized geometry
# Crystal system   cubic
# DFT total energy   -4.00 eV/atom
data_ErThTlCd
_chemical_formula_sum 'Er1 Th1 Tl1 Cd1'
_cell_length_a 5.3912
_cell_length_b 5.3912
_cell_length_c 5.3912
_cell_angle_alpha 60.00
_cell_angle_beta 60.00
_cell_angle_gamma 60.00
_symmetry_space_group_name_H-M 'P 1'
_symmetry_Int_Tables_number 1
loop_
_symmetry_equiv_pos_as_xyz
'x,y,z'
loop_
_atom_site_label
_atom_site_type_symbol
_atom_site_fract_x
_atom_site_fract_y
_atom_site_fract_z
Cd1 Cd 0.2500 0.2500 0.2500
Er1 Er 0.5000 0.5000 0.5000
Tl1 Tl 0.7500 0.7500 0.7500
Th1 Th 0.0000 0.0000 0.0000

[11]
# ErTmThCd | Alexandria | PBE | optimized geometry
# Crystal system   cubic
# Excess energy over the best structure of this formula in the dataset   0.203 eV per atom
data_ErTmThCd
_chemical_formula_sum 'Er1 Tm1 Th1 Cd1'
_cell_length_a 5.4491
_cell_length_b 5.4491
_cell_length_c 5.4491
_cell_angle_alpha 60.00
_cell_angle_beta 60.00
_cell_angle_gamma 60.00
_symmetry_space_group_name_H-M 'P 1'
_symmetry_Int_Tables_number 1
loop_
_symmetry_equiv_pos_as_xyz
'x,y,z'
loop_
_atom_site_label
_atom_site_type_symbol
_atom_site_fract_x
_atom_site_fract_y
_atom_site_fract_z
Tm1 Tm 0.2500 0.2500 0.2500
Th1 Th 0.0000 0.0000 0.0000
Cd1 Cd 0.7500 0.7500 0.7500
Er1 Er 0.5000 0.5000 0.5000

[12]
# ErTmThCd | Alexandria | PBE | optimized geometry
# Crystal system   tetragonal
# Excess energy over the best structure of this formula in the dataset   0.000 eV per atom
data_ErTmThCd
_chemical_formula_sum 'Er1 Tm1 Th1 Cd1'
_cell_length_a 3.5883
_cell_length_b 3.5883
_cell_length_c 8.7768
_cell_angle_alpha 90.00
_cell_angle_beta 90.00
_cell_angle_gamma 90.00
_symmetry_space_group_name_H-M 'P 1'
_symmetry_Int_Tables_number 1
loop_
_symmetry_equiv_pos_as_xyz
'x,y,z'
loop_
_atom_site_label
_atom_site_type_symbol
_atom_site_fract_x
_atom_site_fract_y
_atom_site_fract_z
Er1 Er 0.5000 0.5000 0.8001
Tm1 Tm 0.5000 0.5000 0.3427
Th1 Th 0.0000 0.0000 0.0722
Cd1 Cd 0.0000 0.0000 0.5698

[13]
# YErThCd | Alexandria | PBE | optimized geometry
# Crystal system   cubic
# DFT total energy   -4.80 eV/atom
data_YErThCd
_chemical_formula_sum 'Y1 Er1 Th1 Cd1'
_cell_length_a 5.4805
_cell_length_b 5.4805
_cell_length_c 5.4805
_cell_angle_alpha 60.00
_cell_angle_beta 60.00
_cell_angle_gamma 60.00
_symmetry_space_group_name_H-M 'P 1'
_symmetry_Int_Tables_number 1
loop_
_symmetry_equiv_pos_as_xyz
'x,y,z'
loop_
_atom_site_label
_atom_site_type_symbol
_atom_site_fract_x
_atom_site_fract_y
_atom_site_fract_z
Er1 Er 0.7500 0.7500 0.7500
Th1 Th 0.5000 0.5000 0.5000
Y1 Y 0.0000 0.0000 0.0000
Cd1 Cd 0.2500 0.2500 0.2500